An optimized crystal structure of PrMg4Pb2, computed with GGA-PBE.

Cell and atoms, written as POSCAR:
```
PrMg4Pb2
1.0
8.835 0.000 0.000
0.000 8.835 0.000
0.000 0.000 4.708
Pr Mg Pb
2 8 4
Direct
0.000 0.000 0.000
0.500 0.500 0.500
0.098 0.355 0.500
0.145 0.598 0.000
0.355 0.098 0.500
0.402 0.855 0.000
0.598 0.145 0.000
0.645 0.902 0.500
0.855 0.402 0.000
0.902 0.645 0.500
0.201 0.799 0.500
0.299 0.299 0.000
0.701 0.701 0.000
0.799 0.201 0.500
```

- Electronic total energy: -2.868 eV per atom
- Calculated density: 5.90 g/cm³
- E_form: -0.215 eV per atom